Entry 1:
Below is LaMoBr2 after structural relaxation, with properties calculated at the PBE level.

Output
Total magnetization in μB/cell: 4.91
Uncorrected formation energy in eV/atom: 0.033
DFT total energy in eV per cell: -19.0
Energy relative to the lowest polymorph listed for this composition in meV per atom: 474

The structure in POSCAR format:
```
LaMoBr2
1.0
-4.3824 1.6710 8.8611
-0.8081 1.0210 9.9409
-1.8378 4.4787 8.7796
Mo Br La
1 2 1
direct
0.7500 0.7500 0.7500 Mo
0.9893 0.9893 0.9893 Br
0.5107 0.5107 0.5107 Br
0.2500 0.2500 0.2500 La
```

Entry 2:
Below is NaY3Be after structural relaxation, with properties calculated at the PBE level.

Output
Total magnetization in μB/cell: 0.01
ΔH_f (0 K) in eV per atom: 0.34
DFT total energy in eV per cell: -22.7
Energy relative to the lowest polymorph listed for this composition in meV per atom: 0

The structure in POSCAR format:
```
NaY3Be
1.0
5.3819 0.0000 0.0000
0.0000 5.3819 0.0000
0.0000 0.0000 5.3819
Y Na Be
3 1 1
direct
0.0000 0.5000 0.0000 Y
0.0000 0.0000 0.5000 Y
0.5000 0.0000 0.0000 Y
0.5000 0.5000 0.5000 Na
0.0000 0.0000 0.0000 Be
```

Entry 3:
Below is CuHg2W after structural relaxation, with properties calculated at the PBE level.

Output
Total magnetization in μB/cell: 0.00
ΔH_f (0 K) in eV per atom: 0.75
DFT total energy in eV per cell: -14.7
Energy relative to the lowest polymorph listed for this composition in meV per atom: 236

The structure in POSCAR format:
```
CuHg2W
1.0
-0.3389 -3.7803 1.3166
3.7515 -0.9059 -1.6354
1.8358 1.0916 3.6066
Cu Hg W
1 2 1
direct
0.5000 0.0000 0.5000 Cu
0.0000 0.0000 0.0000 Hg
0.0000 0.5000 0.5000 Hg
0.5000 0.5000 0.0000 W
```

Entry 4:
Below is SrTc2PN2 after structural relaxation, with properties calculated at the PBE level.

Output
Total magnetization in μB/cell: 0.00
Uncorrected formation energy in eV/atom: -0.446
DFT total energy in eV per cell: -94.3

The structure in POSCAR format:
```
SrTc2PN2
1.0
-4.9923 0.5389 -2.1494
4.6101 -0.6071 -4.8139
-1.9796 -6.9883 2.4047
Sr Tc P N
2 4 2 4
direct
0.6883 0.3301 0.6496 Sr
0.3117 0.6699 0.3504 Sr
0.5571 0.1157 0.1958 Tc
0.0532 0.1032 0.2046 Tc
0.9468 0.8968 0.7954 Tc
0.4429 0.8843 0.8042 Tc
0.3331 0.1969 0.9799 P
0.6669 0.8031 0.0201 P
0.2797 0.0397 0.3479 N
0.1068 0.6755 0.6913 N
0.7203 0.9603 0.6521 N
0.8932 0.3245 0.3087 N
```

Entry 5:
Below is ErBeSi2Os2 after structural relaxation, with properties calculated at the PBE level.

Output
Total magnetization in μB/cell: 0.00
Uncorrected formation energy in eV/atom: -0.424
DFT total energy in eV per cell: -44.1

The structure in POSCAR format:
```
ErBeSi2Os2
1.0
-1.1238 -0.9290 3.9709
4.0377 0.3256 1.2188
-0.6995 5.0197 0.9764
Er Be Si Os
1 1 2 2
direct
0.0000 0.0000 0.5000 Er
0.0000 0.0000 0.0000 Be
0.5000 0.5000 0.7315 Si
0.5000 0.5000 0.2685 Si
0.5000 0.0000 0.0000 Os
0.0000 0.5000 0.0000 Os
```

Entry 6:
Below is AcAgS2O8 after structural relaxation, with properties calculated at the PBE level.

Output
Total magnetization in μB/cell: 0.00
Uncorrected formation energy in eV/atom: -1.782
DFT total energy in eV per cell: -76.3

The structure in POSCAR format:
```
AcAgS2O8
1.0
5.3062 0.0000 0.0000
-2.6531 4.5953 0.0000
0.0000 0.0000 7.9213
Ac Ag S O
1 1 2 8
direct
0.0000 0.0000 0.5000 Ac
0.0000 0.0000 0.0000 Ag
0.3333 0.6667 0.7015 S
0.6667 0.3333 0.2985 S
0.1795 0.3590 0.7592 O
0.1795 0.8205 0.7592 O
0.6410 0.8205 0.7592 O
0.3590 0.1795 0.2408 O
0.6667 0.3333 0.4895 O
0.3333 0.6667 0.5105 O
0.8205 0.6410 0.2408 O
0.8205 0.1795 0.2408 O
```

Entry 7:
Below is Te2SeS2 after structural relaxation, with properties calculated at the PBE level.

Output
Total magnetization in μB/cell: 0.00
Uncorrected formation energy in eV/atom: 0.086
DFT total energy in eV per cell: -35.2
Energy relative to the lowest polymorph listed for this composition in meV per atom: 0

The structure in POSCAR format:
```
Te2SeS2
1.0
-0.9737 0.9926 -3.7418
-10.9118 -3.9141 0.6489
8.0374 8.7363 3.8993
Te Se S
4 2 4
direct
0.3127 0.8317 0.9873 Te
0.3705 0.7586 0.4482 Te
0.6295 0.2414 0.5518 Te
0.6873 0.1683 0.0127 Te
0.8788 0.9306 0.2558 Se
0.1212 0.0695 0.7442 Se
0.5518 0.7223 0.7673 S
0.7928 0.5039 0.1658 S
0.4482 0.2777 0.2327 S
0.2072 0.4961 0.8342 S
```

Entry 8:
Below is KBiRh2Au after structural relaxation, with properties calculated at the PBE level.

Output
Total magnetization in μB/cell: 0.00
ΔH_f (0 K) in eV per atom: 0.96
DFT total energy in eV per cell: -18.1

The structure in POSCAR format:
```
KBiRh2Au
1.0
-1.5145 -3.1992 -3.5659
3.1975 -4.5690 2.7412
-4.0332 -1.1668 2.7598
Rh K Au Bi
2 1 1 1
direct
0.0000 0.0000 0.5000 Rh
0.5000 0.0000 0.0000 Rh
0.0000 0.5000 0.0000 K
0.5000 0.5000 0.5000 Au
0.0000 0.0000 0.0000 Bi
```